Entry from Alexandria: a geometry-optimized AlMoRh2 structure (PBE).

a = 2.8045 Å, b = 3.9754 Å, c = 5.3017 Å
α = 90.00°, β = 90.00°, γ = 90.00°
With the nearest neighbours (Å) after each atom.
Fractional coordinates of all 4 atoms:
Al  0.0000  0.0000  0.4675  6 Rh 2.60-2.66, 2 Al 2.80, 4 Mo 2.91
Rh  0.0000  0.0000  0.9699  2 Al 2.64-2.66, 4 Mo 2.65, 2 Rh 2.80
Rh  0.5000  0.5000  0.2926  2 Mo 2.53-2.77, 4 Al 2.60, 2 Rh 2.80
Mo  0.5000  0.5000  0.7700  6 Rh 2.53-2.77, 2 Mo 2.80

Summary:
DOS at the Fermi energy	0.8333	states/eV/atom
crystal system	orthorhombic
formation enthalpy at 0 K	-378	meV per atom
space-group type	No. 25